No. 1
Computed, not measured: a relaxed structure of Na2ScCl4 at the PBE-GGA level of DFT.

The value obtained for the density is 2.29 Mg/m³. The calculation puts the total DFT energy (no corrections) at -57.4 eV per cell. The uncorrected formation energy is -1.76 eV per atom. For the density of states at the Fermi level, the calculation gives 3.93 states/eV/cell.

It has space group C2/m (No. 12), with a = 14.304 Å, b = 3.705 Å, c = 7.238 Å, α = 90.00°, β = 118.42° and γ = 90.00°. The distinct sites, in fractional coordinates, are Na at (0.214, 0.000, 0.202), Sc at (0.000, 0.500, 0.500), Cl at (0.112, 0.500, 0.898) and Cl at (0.132, 0.000, 0.489).

No. 2
Computed, not measured: a relaxed structure of NiPd3Rh at the PBE-GGA level of DFT.

The value obtained for the density is 8.82 Mg/m³. The calculation puts the total DFT energy (no corrections) at -23.5 eV per cell. For the density of states at the Fermi level, the calculation gives 10.47 states/eV/cell.

It has space group Pm-3m (No. 221), with a = 4.491 Å, b = 4.491 Å, c = 4.491 Å, α = 90.00°, β = 90.00° and γ = 90.00°. The distinct sites, in fractional coordinates, are Ni at (0.000, 0.000, 0.000), Pd at (0.000, 0.000, 0.500) and Rh at (0.500, 0.500, 0.500).

No. 3
Computed, not measured: a relaxed structure of CsSr3Co at the PBE-GGA level of DFT.

The value obtained for the density is 3.05 Mg/m³. The calculation puts the total DFT energy (no corrections) at -5.1 eV per cell. For the density of states at the Fermi level, the calculation gives 9.63 states/eV/cell.

It has space group Pm-3m (No. 221), with a = 6.280 Å, b = 6.280 Å, c = 6.280 Å, α = 90.00°, β = 90.00° and γ = 90.00°. The distinct sites, in fractional coordinates, are Cs at (0.000, 0.000, 0.000), Sr at (0.000, 0.000, 0.500) and Co at (0.500, 0.500, 0.500).